No. 1
Computed, not measured: a geometry-optimized NpPaReSi structure at the PBE level of DFT.

Computed properties:
- Formation energy without anion corrections: 0.31 eV/f.u.

```
data_NpPaReSi
_chemical_formula_sum 'Np4 Pa4 Re4 Si4'
_cell_length_a 6.696
_cell_length_b 6.696
_cell_length_c 6.696
_cell_angle_alpha 90.00
_cell_angle_beta 90.00
_cell_angle_gamma 90.00
_symmetry_space_group_name_H-M 'F -4 3 m'
_symmetry_Int_Tables_number 216
_symmetry_space_group_name_Hall 'F -4 2 3'
loop_
_atom_site_label
_atom_site_fract_x
_atom_site_fract_y
_atom_site_fract_z
_atom_site_occupancy
Np1 0.000 0.000 0.000 1
Pa1 0.250 0.250 0.250 1
Re1 0.000 0.000 0.500 1
Si1 0.250 0.250 0.750 1
```

---

No. 2
Computed, not measured: a geometry-optimized NpPaReTc structure at the PBE level of DFT.

Computed properties:
- Energy relative to the elements: 44 kJ/mol of formula units

```
data_NpPaReTc
_chemical_formula_sum 'Np4 Pa4 Re4 Tc4'
_cell_length_a 6.821
_cell_length_b 6.821
_cell_length_c 6.821
_cell_angle_alpha 90.00
_cell_angle_beta 90.00
_cell_angle_gamma 90.00
_symmetry_space_group_name_H-M 'F -4 3 m'
_symmetry_Int_Tables_number 216
_symmetry_space_group_name_Hall 'F -4 2 3'
loop_
_atom_site_label
_atom_site_fract_x
_atom_site_fract_y
_atom_site_fract_z
_atom_site_occupancy
Np1 0.000 0.000 0.000 1
Pa1 0.000 0.000 0.500 1
Re1 0.250 0.250 0.750 1
Tc1 0.250 0.250 0.250 1
```

---

No. 3
Computed, not measured: a geometry-optimized NpUPaRe structure at the PBE level of DFT.

Computed properties:
- Energy relative to the elements: 81 kJ/mol of formula units

```
data_NpUPaRe
_chemical_formula_sum 'Np4 U4 Pa4 Re4'
_cell_length_a 6.870
_cell_length_b 6.870
_cell_length_c 6.870
_cell_angle_alpha 90.00
_cell_angle_beta 90.00
_cell_angle_gamma 90.00
_symmetry_space_group_name_H-M 'F -4 3 m'
_symmetry_Int_Tables_number 216
_symmetry_space_group_name_Hall 'F -4 2 3'
loop_
_atom_site_label
_atom_site_fract_x
_atom_site_fract_y
_atom_site_fract_z
_atom_site_occupancy
Np1 0.000 0.000 0.000 1
U1 0.250 0.250 0.250 1
Pa1 0.250 0.250 0.750 1
Re1 0.000 0.000 0.500 1
```

---

No. 4
Computed, not measured: a geometry-optimized NpPaReW structure at the PBE level of DFT.

Computed properties:
- Energy relative to the elements: 106 kJ/mol of formula units

```
data_NpPaReW
_chemical_formula_sum 'Np4 Pa4 Re4 W4'
_cell_length_a 6.706
_cell_length_b 6.706
_cell_length_c 6.706
_cell_angle_alpha 90.00
_cell_angle_beta 90.00
_cell_angle_gamma 90.00
_symmetry_space_group_name_H-M 'F -4 3 m'
_symmetry_Int_Tables_number 216
_symmetry_space_group_name_Hall 'F -4 2 3'
loop_
_atom_site_label
_atom_site_fract_x
_atom_site_fract_y
_atom_site_fract_z
_atom_site_occupancy
Np1 0.000 0.000 0.000 1
Pa1 0.250 0.250 0.750 1
Re1 0.000 0.000 0.500 1
W1 0.250 0.250 0.250 1
```

---

No. 5
Computed, not measured: a geometry-optimized NpPaZnRe structure at the PBE level of DFT.

Computed properties:
- Energy relative to the elements: 36 kJ/mol of formula units

```
data_NpPaZnRe
_chemical_formula_sum 'Np4 Pa4 Zn4 Re4'
_cell_length_a 6.689
_cell_length_b 6.689
_cell_length_c 6.689
_cell_angle_alpha 90.00
_cell_angle_beta 90.00
_cell_angle_gamma 90.00
_symmetry_space_group_name_H-M 'F -4 3 m'
_symmetry_Int_Tables_number 216
_symmetry_space_group_name_Hall 'F -4 2 3'
loop_
_atom_site_label
_atom_site_fract_x
_atom_site_fract_y
_atom_site_fract_z
_atom_site_occupancy
Np1 0.000 0.000 0.000 1
Pa1 0.250 0.250 0.250 1
Zn1 0.250 0.250 0.750 1
Re1 0.000 0.000 0.500 1
```

---

No. 6
Computed, not measured: a geometry-optimized NpPa2Rh structure at the PBE level of DFT.

Computed properties:
- Energy above the lowest structure with this stoichiometry: 88 meV per atom
- Energy relative to the elements: -58 kJ/mol of formula units

```
data_NpPa2Rh
_chemical_formula_sum 'Np3 Pa6 Rh3'
_cell_length_a 4.6925
_cell_length_b 4.6925
_cell_length_c 12.9164
_cell_angle_alpha 90.00
_cell_angle_beta 90.00
_cell_angle_gamma 120.00
_symmetry_space_group_name_H-M 'R -3 m'
_symmetry_Int_Tables_number 166
_symmetry_space_group_name_Hall '-R 3 2"'
loop_
_atom_site_label
_atom_site_fract_x
_atom_site_fract_y
_atom_site_fract_z
_atom_site_occupancy
Np1 0.0000 0.0000 0.0000 1
Pa1 0.0000 0.0000 0.2602 1
Rh1 0.0000 0.0000 0.5000 1
```

---

No. 7
Computed, not measured: a geometry-optimized NpPa2Rh9 structure at the PBE level of DFT.

Computed properties:
- Energy relative to the elements: -844 kJ/mol of formula units

```
data_NpPa2Rh9
_chemical_formula_sum 'Np1 Pa2 Rh9'
_cell_length_a 4.047
_cell_length_b 4.047
_cell_length_c 12.136
_cell_angle_alpha 90.00
_cell_angle_beta 90.00
_cell_angle_gamma 90.00
_symmetry_space_group_name_H-M 'P 4/m m m'
_symmetry_Int_Tables_number 123
_symmetry_space_group_name_Hall '-P 4 2'
loop_
_atom_site_label
_atom_site_fract_x
_atom_site_fract_y
_atom_site_fract_z
_atom_site_occupancy
Np1 0.000 0.000 0.000 1
Pa1 0.000 0.000 0.333 1
Rh1 0.000 0.500 0.163 1
Rh2 0.000 0.500 0.500 1
Rh3 0.500 0.500 0.000 1
Rh4 0.500 0.500 0.332 1
```

---

No. 8
Computed, not measured: a geometry-optimized Np3PaRh12 structure at the PBE level of DFT.

Computed properties:
- Energy relative to the elements: -745 kJ/mol of formula units

```
data_Np3PaRh12
_chemical_formula_sum 'Np3 Pa1 Rh12'
_cell_length_a 4.020
_cell_length_b 4.020
_cell_length_c 16.042
_cell_angle_alpha 90.00
_cell_angle_beta 90.00
_cell_angle_gamma 90.00
_symmetry_space_group_name_H-M 'P 4/m m m'
_symmetry_Int_Tables_number 123
_symmetry_space_group_name_Hall '-P 4 2'
loop_
_atom_site_label
_atom_site_fract_x
_atom_site_fract_y
_atom_site_fract_z
_atom_site_occupancy
Np1 0.000 0.000 0.000 1
Np2 0.000 0.000 0.248 1
Pa1 0.000 0.000 0.500 1
Rh1 0.000 0.500 0.124 1
Rh2 0.000 0.500 0.370 1
Rh3 0.500 0.500 0.000 1
Rh4 0.500 0.500 0.249 1
Rh5 0.500 0.500 0.500 1
```

---

No. 9
Computed, not measured: a geometry-optimized NpPaRh14 structure at the PBE level of DFT.

Computed properties:
- Energy relative to the elements: -372 kJ/mol of formula units

```
data_NpPaRh14
_chemical_formula_sum 'Np1 Pa1 Rh14'
_cell_length_a 5.595
_cell_length_b 5.595
_cell_length_c 7.867
_cell_angle_alpha 90.00
_cell_angle_beta 90.00
_cell_angle_gamma 90.00
_symmetry_space_group_name_H-M 'P 4/m m m'
_symmetry_Int_Tables_number 123
_symmetry_space_group_name_Hall '-P 4 2'
loop_
_atom_site_label
_atom_site_fract_x
_atom_site_fract_y
_atom_site_fract_z
_atom_site_occupancy
Np1 0.000 0.000 0.000 1
Pa1 0.500 0.500 0.000 1
Rh1 0.000 0.000 0.500 1
Rh2 0.000 0.500 0.000 1
Rh3 0.000 0.500 0.500 1
Rh4 0.249 0.249 0.259 1
Rh5 0.500 0.500 0.500 1
```

---

No. 10
Computed, not measured: a geometry-optimized NpPa2Rh structure at the PBE level of DFT.

Computed properties:
- Energy above the lowest structure with this stoichiometry: 0 meV per atom
- Energy relative to the elements: -92 kJ/mol of formula units

```
data_NpPa2Rh
_chemical_formula_sum 'Np1 Pa2 Rh1'
_cell_length_a 5.110
_cell_length_b 5.110
_cell_length_c 3.174
_cell_angle_alpha 90.00
_cell_angle_beta 90.00
_cell_angle_gamma 90.00
_symmetry_space_group_name_H-M 'P 4/m m m'
_symmetry_Int_Tables_number 123
_symmetry_space_group_name_Hall '-P 4 2'
loop_
_atom_site_label
_atom_site_fract_x
_atom_site_fract_y
_atom_site_fract_z
_atom_site_occupancy
Np1 0.000 0.000 0.000 1
Pa1 0.000 0.500 0.500 1
Rh1 0.500 0.500 0.000 1
```

---

No. 11
Computed, not measured: a geometry-optimized Np2PaRhS4 structure at the PBE level of DFT.

Computed properties:
- Formation energy without anion corrections: -8.83 eV/f.u.

```
data_Np2PaRhS4
_chemical_formula_sum 'Np4 Pa2 Rh2 S8'
_cell_length_a 6.789
_cell_length_b 6.789
_cell_length_c 6.562
_cell_angle_alpha 90.00
_cell_angle_beta 90.00
_cell_angle_gamma 90.00
_symmetry_space_group_name_H-M 'I -4 2 m'
_symmetry_Int_Tables_number 121
_symmetry_space_group_name_Hall 'I -4 2'
loop_
_atom_site_label
_atom_site_fract_x
_atom_site_fract_y
_atom_site_fract_z
_atom_site_occupancy
Np1 0.000 0.500 0.000 1
Pa1 0.000 0.000 0.000 1
Rh1 0.000 0.000 0.500 1
S1 0.206 0.206 0.298 1
```

---

No. 12
Computed, not measured: a geometry-optimized Np2PaRhS5 structure at the PBE level of DFT.

Computed properties:
- Formation energy without anion corrections: -11.76 eV/f.u.

```
data_Np2PaRhS5
_chemical_formula_sum 'Np8 Pa4 Rh4 S20'
_cell_length_a 3.760
_cell_length_b 16.233
_cell_length_c 11.841
_cell_angle_alpha 90.00
_cell_angle_beta 90.00
_cell_angle_gamma 90.00
_symmetry_space_group_name_H-M 'C m c 21'
_symmetry_Int_Tables_number 36
loop_
_symmetry_equiv_pos_as_xyz
'x,y,z'
'-x,-y,z+1/2'
'-x,y,z'
'x,-y,z+1/2'
'x+1/2,y+1/2,z'
'-x+1/2,-y+1/2,z+1/2'
'-x+1/2,y+1/2,z'
'x+1/2,-y+1/2,z+1/2'
loop_
_atom_site_label
_atom_site_fract_x
_atom_site_fract_y
_atom_site_fract_z
_atom_site_occupancy
Np1 0.000 0.105 0.000 1
Np2 0.000 0.120 0.347 1
Pa1 0.000 0.178 0.670 1
Rh1 0.000 0.437 0.071 1
S1 0.000 0.009 0.673 1
S2 0.000 0.302 0.997 1
S3 0.000 0.308 0.337 1
S4 0.000 0.344 0.669 1
S5 0.000 0.497 0.394 1
```

---

What did we get for M_tot? Answer: 1.160; 0.761; 1.403; 0.845; 0.833; 0.753; 0.073; 0.000; 0.061; 0.565; 1.195; 0.880 μB per atom, in the order shown.
What did we get for final energy? Answer: -10.00; -11.20; -11.33; -11.68; -8.95; -9.97; -8.90; -9.02; -8.08; -10.06; -8.51; -8.35 eV per atom, in the order shown.